Entry 1:
# GGA-PBE TmSi4Rh6, optimized geometry
# E_tot ... -7.386 eV per atom
# Size of the total moment ... 0.0 Bohr magnetons per cell
# N(E_F) ... 3.573 states/eV/f.u.
data_TmSi4Rh6
_chemical_formula_sum 'Tm1 Si4 Rh6'
_cell_length_a 7.0307
_cell_length_b 7.0307
_cell_length_c 3.7533
_cell_angle_alpha 90.00
_cell_angle_beta 90.00
_cell_angle_gamma 120.00
_space_group_name_H-M_alt 'P -6 m 2'
_space_group_IT_number 187
_space_group_name_Hall 'P -6 2'
loop_
_atom_site_label
_atom_site_type_symbol
_atom_site_fract_x
_atom_site_fract_y
_atom_site_fract_z
_atom_site_occupancy
Tm1 Tm 0.0000 0.0000 0.0000 1
Si1 Si 0.3333 0.6667 0.0000 1
Si2 Si 0.3982 0.1991 0.5000 1
Rh1 Rh 0.1968 0.3937 0.5000 1
Rh2 Rh 0.5332 0.0663 0.0000 1


Entry 2:
# GGA-PBE CrIn2Pb, optimized geometry
# Calculated formation energy ... 399 meV/atom
# E_tot ... -4.303 eV per atom
# Size of the total moment ... 17.7 Bohr magnetons per cell
# N(E_F) ... 2.935 states/eV/f.u.
data_CrIn2Pb
_chemical_formula_sum 'Cr4 In8 Pb4'
_cell_length_a 7.407
_cell_length_b 7.407
_cell_length_c 7.407
_cell_angle_alpha 90.00
_cell_angle_beta 90.00
_cell_angle_gamma 90.00
_space_group_name_H-M_alt 'F -4 3 m'
_space_group_IT_number 216
_space_group_name_Hall 'F -4 2 3'
loop_
_atom_site_label
_atom_site_type_symbol
_atom_site_fract_x
_atom_site_fract_y
_atom_site_fract_z
_atom_site_occupancy
Cr1 Cr 0.000 0.000 0.000 1
In1 In 0.000 0.000 0.500 1
In2 In 0.250 0.250 0.250 1
Pb1 Pb 0.250 0.250 0.750 1


Entry 3:
# GGA-PBE CrTeRh, optimized geometry
# E_tot ... -6.585 eV per atom
# Size of the total moment ... 3.7 Bohr magnetons per cell
# N(E_F) ... 1.698 states/eV/f.u.
data_CrTeRh
_chemical_formula_sum 'Cr1 Te1 Rh1'
_cell_length_a 4.4072
_cell_length_b 4.4072
_cell_length_c 3.2213
_cell_angle_alpha 90.00
_cell_angle_beta 90.00
_cell_angle_gamma 120.00
_space_group_name_H-M_alt 'P -6 m 2'
_space_group_IT_number 187
_space_group_name_Hall 'P -6 2'
loop_
_atom_site_label
_atom_site_type_symbol
_atom_site_fract_x
_atom_site_fract_y
_atom_site_fract_z
_atom_site_occupancy
Cr1 Cr 0.0000 0.0000 0.0000 1
Te1 Te 0.6667 0.3333 0.5000 1
Rh1 Rh 0.3333 0.6667 0.5000 1


Entry 4:
# GGA-PBE TeP2Pb, optimized geometry
# E_tot ... -3.845 eV per atom
# Polymorph energy (0 for the lowest one) ... 0.4650 eV per atom
# Size of the total moment ... 0.0 Bohr magnetons per cell
# N(E_F) ... 2.777 states/eV/f.u.
data_TeP2Pb
_chemical_formula_sum 'Te2 P4 Pb2'
_cell_length_a 4.093
_cell_length_b 6.102
_cell_length_c 7.703
_cell_angle_alpha 90.00
_cell_angle_beta 90.00
_cell_angle_gamma 90.00
_space_group_name_H-M_alt 'C m m m'
_space_group_IT_number 65
_space_group_name_Hall '-C 2 2'
loop_
_atom_site_label
_atom_site_type_symbol
_atom_site_fract_x
_atom_site_fract_y
_atom_site_fract_z
_atom_site_occupancy
Te1 Te 0.000 0.000 0.000 1
P1 P 0.000 0.500 0.237 1
Pb1 Pb 0.000 0.000 0.500 1